(1)
Material: TlSBr2
Method: DFT, PBE-GGA
State: relaxed

DOS at the Fermi energy = 0.66 states/eV/f.u.
magnetization = 2.977 μB per formula unit
ΔE to the lowest computed polymorph = 191 meV per atom
formation energy without anion corrections = 0.23 eV per atom
crystal system = cubic

Unit cell a=5.495 b=5.495 c=5.495 alpha=60.00 beta=60.00 gamma=60.00
Fractional coordinates of all 4 atoms:
Tl 0.500 0.500 0.500
Br 0.250 0.250 0.250
Br 0.750 0.750 0.750
S 0.000 0.000 0.000


(2)
Material: Tb2PrTm3S6
Method: DFT, PBE-GGA
State: relaxed

DOS at the Fermi energy = 4.87 states/eV/f.u.
magnetization = 0.000 μB per formula unit
formation energy without anion corrections = -1.97 eV per atom
crystal system = monoclinic

Unit cell a=3.887 b=7.904 c=8.770 alpha=103.82 beta=102.80 gamma=90.00
Fractional coordinates of all 12 atoms:
Tm 0.500 0.500 0.000
Tm 0.836 0.166 0.671
Tm 0.164 0.834 0.329
S 0.001 0.734 0.002
S 0.335 0.412 0.670
S 0.999 0.266 0.998
S 0.673 0.081 0.346
S 0.327 0.919 0.654
S 0.665 0.588 0.330
Tb 0.166 0.331 0.331
Tb 0.834 0.669 0.669
Pr 0.500 0.000 0.000


(3)
Material: TiH2N
Method: DFT, PBE-GGA
State: relaxed

DOS at the Fermi energy = 2.27 states/eV/f.u.
magnetization = 0.000 μB per formula unit
ΔE to the lowest computed polymorph = 521 meV per atom
crystal system = cubic

Unit cell a=3.273 b=3.273 c=3.273 alpha=60.00 beta=60.00 gamma=60.00
Fractional coordinates of all 4 atoms:
H 0.250 0.250 0.250
H 0.750 0.750 0.750
Ti 0.500 0.500 0.500
N 0.000 0.000 0.000


| no. | ρ (g cm⁻³) |
| --- | --- |
| 1 | 5.610 |
| 2 | 7.547 |
| 3 | 4.277 |